# 1
Computed, not measured: a relaxed Tl2ReSb crystal at the PBE level of DFT.

Geometry as POSCAR:
```
Tl2ReSb
1.0
3.1358 0.0000 0.0000
0.0000 3.1358 0.0000
0.0000 0.0000 9.7112
Re Sb Tl
1 1 2
direct
0.5000 0.5000 0.2500
0.5000 0.5000 0.7500
0.0000 0.0000 0.0412
0.0000 0.0000 0.4588
```

## Properties
Space-group type: P4/mmm, No. 123
Formation energy (no corrections): 0.9367 eV/atom
Relative energy among the computed polymorphs: 2.014 eV/f.u.
DOS(E_F): 3.3 states/eV/f.u.

=====

# 2
Computed, not measured: a relaxed Tl2ReSb crystal at the PBE level of DFT.

Geometry as POSCAR:
```
Tl2ReSb
1.0
3.2846 0.0000 0.0000
0.0000 3.2836 0.0422
0.0000 3.3329 9.1702
Re Sb Tl
1 1 2
direct
0.0000 0.4368 0.5164
0.5000 0.7681 0.6788
0.0000 0.1129 0.0031
0.5000 0.1822 0.3017
```

## Properties
Space-group type: Pm, No. 6
Formation energy (no corrections): 0.4333 eV/atom
Relative energy among the computed polymorphs: 0.000 eV/f.u.
DOS(E_F): 2.0 states/eV/f.u.

=====

# 3
Computed, not measured: a relaxed Tl2ReSb crystal at the PBE level of DFT.

Geometry as POSCAR:
```
Tl2ReSb
1.0
-3.3111 -2.0232 2.8832
5.6405 0.4907 2.8605
-0.2194 2.8488 1.9298
Re Sb Tl
1 1 2
direct
0.0000 0.5000 0.5000
0.5000 0.5000 0.0000
0.0000 0.0000 0.0000
0.5000 0.0000 0.5000
```

## Properties
Space-group type: C2/m, No. 12
Formation energy (no corrections): 0.9866 eV/atom
Relative energy among the computed polymorphs: 2.213 eV/f.u.
DOS(E_F): 3.5 states/eV/f.u.

=====

# 4
Computed, not measured: a relaxed TlReSb crystal at the PBE level of DFT.

Geometry as POSCAR:
```
TlReSb
1.0
-3.7273 4.8068 -5.9765
-6.0397 3.2325 -4.6525
0.3626 2.9161 0.9713
Re Sb Tl
1 1 1
direct
0.9914 0.9914 0.0086
0.3625 0.3625 0.6375
0.6460 0.6460 0.3540
```

## Properties
Space-group type: Fmm2, No. 42
Formation energy (no corrections): 0.7857 eV/atom
Relative energy among the computed polymorphs: 0.550 eV/f.u.
DOS(E_F): 3.1 states/eV/f.u.

=====

# 5
Computed, not measured: a relaxed TlReSb crystal at the PBE level of DFT.

Geometry as POSCAR:
```
TlReSb
1.0
7.2294 -0.0141 0.0000
5.8384 4.2635 0.0000
-6.5339 -2.1247 2.2491
Re Sb Tl
1 1 1
direct
0.9884 0.9884 0.0000
0.3712 0.3712 0.0000
0.6404 0.6404 0.0000
```

## Properties
Space-group type: I4mm, No. 107
Formation energy (no corrections): 0.6415 eV/atom
Relative energy among the computed polymorphs: 0.117 eV/f.u.
DOS(E_F): 2.5 states/eV/f.u.

=====

# 6
Computed, not measured: a relaxed Tl2ReSb crystal at the PBE level of DFT.

Geometry as POSCAR:
```
Tl2ReSb
1.0
-4.4914 0.2425 2.7474
0.5365 -4.3149 2.9789
3.5372 3.8783 -0.4757
Re Sb Tl
1 1 2
direct
0.5000 0.5000 0.0000
0.7500 0.2500 0.5000
0.0000 0.0000 0.0000
0.2500 0.7500 0.5000
```

## Properties
Space-group type: I-4m2, No. 119
Formation energy (no corrections): 1.0103 eV/atom
Relative energy among the computed polymorphs: 2.308 eV/f.u.
DOS(E_F): 2.9 states/eV/f.u.

=====

# 7
Computed, not measured: a relaxed Tl2ReSb crystal at the PBE level of DFT.

Geometry as POSCAR:
```
Tl2ReSb
1.0
-0.6406 -0.7339 -2.9554
2.9709 -0.2315 0.8963
-1.6919 -10.3450 2.9356
Re Sb Tl
1 1 2
direct
0.5000 0.5000 0.2500
0.5000 0.5000 0.7500
0.0000 0.0000 0.0284
0.0000 0.0000 0.4716
```

## Properties
Space-group type: Cmmm, No. 65
Formation energy (no corrections): 0.9039 eV/atom
Relative energy among the computed polymorphs: 1.883 eV/f.u.
DOS(E_F): 4.0 states/eV/f.u.

=====

# 8
Computed, not measured: a relaxed Tl2ReSb crystal at the PBE level of DFT.

Geometry as POSCAR:
```
Tl2ReSb
1.0
3.3746 0.0000 0.0000
0.0000 4.8778 0.0000
0.0000 0.0000 5.7030
Re Sb Tl
1 1 2
direct
0.5000 0.0000 0.5000
0.0000 0.5000 0.5000
0.0000 0.0000 0.0000
0.5000 0.5000 0.0000
```

## Properties
Space-group type: Pmmm, No. 47
Formation energy (no corrections): 1.0019 eV/atom
Relative energy among the computed polymorphs: 2.275 eV/f.u.
DOS(E_F): 3.3 states/eV/f.u.

=====

# 9
Computed, not measured: a relaxed Tl2ReSb crystal at the PBE level of DFT.

Geometry as POSCAR:
```
Tl2ReSb
1.0
5.1023 0.0000 0.0000
2.5512 4.4187 0.0000
2.5512 1.4729 4.1660
Re Sb Tl
1 1 2
direct
0.5000 0.5000 0.5000
0.2500 0.2500 0.2500
0.0000 0.0000 0.0000
0.7500 0.7500 0.7500
```

## Properties
Space-group type: F-43m, No. 216
Formation energy (no corrections): 1.0243 eV/atom
Relative energy among the computed polymorphs: 2.364 eV/f.u.
DOS(E_F): 4.4 states/eV/f.u.

=====

# 10
Computed, not measured: a relaxed TlRe4Sb crystal at the PBE level of DFT.

Geometry as POSCAR:
```
TlRe4Sb
1.0
0.0000 3.7993 3.7993
3.7993 0.0000 3.7993
3.7993 3.7993 0.0000
Tl Re Sb
1 4 1
direct
0.0000 0.0000 0.0000
0.8739 0.3754 0.3754
0.3754 0.3754 0.8739
0.3754 0.8739 0.3754
0.3754 0.3754 0.3754
0.7500 0.7500 0.7500
```

## Properties
Space-group type: F-43m, No. 216
Formation energy (no corrections): 0.8455 eV/atom
DOS(E_F): 3.8 states/eV/f.u.

=====

# 11
Computed, not measured: a relaxed Tl2ReSb crystal at the PBE level of DFT.

Geometry as POSCAR:
```
Tl2ReSb
1.0
-2.6805 1.3935 4.8244
-0.2716 -5.6071 -0.9426
2.5741 -0.3838 1.5411
Re Sb Tl
1 1 2
direct
0.5000 0.0000 0.5000
0.0000 0.5000 0.5000
0.0000 0.0000 0.0000
0.5000 0.5000 0.0000
```

## Properties
Space-group type: Cmmm, No. 65
Formation energy (no corrections): 1.0496 eV/atom
Relative energy among the computed polymorphs: 2.465 eV/f.u.
DOS(E_F): 3.5 states/eV/f.u.

=====

# 12
Computed, not measured: a relaxed Tl2ReSb crystal at the PBE level of DFT.

Geometry as POSCAR:
```
Tl2ReSb
1.0
7.4588 0.0068 0.0027
5.2802 5.2681 -0.0027
-5.9703 -3.6015 2.6492
Re Sb Tl
1 1 2
direct
0.4835 0.4835 0.0000
0.3287 0.8287 0.5000
0.0049 0.0049 0.0000
0.6829 0.1829 0.5000
```

## Properties
Space-group type: Imm2, No. 44
Formation energy (no corrections): 0.5884 eV/atom
Relative energy among the computed polymorphs: 0.620 eV/f.u.
DOS(E_F): 3.3 states/eV/f.u.